## Mg4Cd2Pb3 (PBE)

Data for crystalline Mg4Cd2Pb3 at its relaxed geometry.

a = 7.8671 Å, b = 8.5335 Å, c = 7.3861 Å
α = 90.00°, β = 107.23°, γ = 90.00°
Closest atoms and distances in Å follow each position.
Fractional coordinates of all 18 atoms:
Mg 0.1029 0.0044 0.3593  4 Cd 2.94-3.23, 2 Pb 2.99-3.29, 1 Mg 2.99
Mg 0.1029 0.4956 0.8593  4 Cd 2.94-3.23, 2 Pb 2.99-3.29, 1 Mg 2.99
Mg 0.3400 0.6938 0.2968  2 Cd 2.93-3.14, 3 Pb 3.07-3.28
Mg 0.3400 0.8062 0.7968  2 Cd 2.93-3.14, 3 Pb 3.07-3.28
Mg 0.6600 0.1938 0.2032  2 Cd 2.93-3.14, 3 Pb 3.07-3.28
Mg 0.6600 0.3062 0.7032  2 Cd 2.93-3.14, 3 Pb 3.07-3.28
Mg 0.8971 0.5044 0.1407  4 Cd 2.94-3.23, 2 Pb 2.99-3.29, 1 Mg 2.99
Mg 0.8971 0.9956 0.6407  4 Cd 2.94-3.23, 2 Pb 2.99-3.29, 1 Mg 2.99
Cd 0.0394 0.6775 0.4971  6 Mg 2.93-3.23, 1 Cd 3.10, 1 Pb 3.25
Cd 0.0394 0.8225 0.9971  6 Mg 2.93-3.23, 1 Cd 3.10, 1 Pb 3.25
Cd 0.9606 0.1775 0.0029  6 Mg 2.93-3.23, 1 Cd 3.10, 1 Pb 3.25
Cd 0.9606 0.3225 0.5029  6 Mg 2.93-3.23, 1 Cd 3.10, 1 Pb 3.25
Pb 0.2964 0.1624 0.8153  5 Mg 3.07-3.43, 2 Cd 3.25-3.33, 1 Pb 3.38
Pb 0.2964 0.3376 0.3153  5 Mg 3.07-3.43, 2 Cd 3.25-3.33, 1 Pb 3.38
Pb 0.5000 0.0000 0.5000  6 Mg 2.99-3.28
Pb 0.5000 0.5000 0.0000  6 Mg 2.99-3.28
Pb 0.7036 0.6624 0.6847  5 Mg 3.07-3.43, 2 Cd 3.25-3.33, 1 Pb 3.38
Pb 0.7036 0.8376 0.1847  5 Mg 3.07-3.43, 2 Cd 3.25-3.33, 1 Pb 3.38

Properties
For the calculated volume, the calculation gives 237 Å³/f.u. As for the total magnetization: 0.000 μB/atom. The value obtained for the total energy is -2.136 eV/atom. The calculation puts the density of states at the Fermi level at 0.46 states/eV/atom. The formation energy from the elements comes out at 0.0117 eV per atom.

## Mg4CdPb (PBE)

Data for crystalline Mg4CdPb at its relaxed geometry.

a = 7.6385 Å, b = 7.6385 Å, c = 5.8269 Å
α = 99.92°, β = 99.92°, γ = 116.16°
Closest atoms and distances in Å follow each position.
Fractional coordinates of all 12 atoms:
Mg 0.0908 0.7095 0.9505  2 Cd 2.96-2.97, 4 Mg 3.05-3.24, 2 Pb 3.18-3.27
Mg 0.1738 0.4135 0.6241  4 Mg 3.05-3.33, 2 Cd 3.08-3.11, 2 Pb 3.16-3.27
Mg 0.2905 0.9092 0.5495  2 Cd 2.96-2.97, 4 Mg 3.05-3.24, 2 Pb 3.18-3.27
Mg 0.4135 0.1738 0.1241  4 Mg 3.05-3.33, 2 Cd 3.08-3.11, 2 Pb 3.16-3.27
Mg 0.5865 0.8262 0.8759  4 Mg 3.05-3.33, 2 Cd 3.08-3.11, 2 Pb 3.16-3.27
Mg 0.7095 0.0908 0.4505  2 Cd 2.96-2.97, 4 Mg 3.05-3.24, 2 Pb 3.18-3.27
Mg 0.8262 0.5865 0.3759  4 Mg 3.05-3.33, 2 Cd 3.08-3.11, 2 Pb 3.16-3.27
Mg 0.9092 0.2905 0.0495  2 Cd 2.96-2.97, 4 Mg 3.05-3.24, 2 Pb 3.18-3.27
Cd 0.0017 0.9983 0.2500  2 Cd 2.91, 8 Mg 2.96-3.11
Cd 0.9983 0.0017 0.7500  2 Cd 2.91, 8 Mg 2.96-3.11
Pb 0.3993 0.6007 0.2500  10 Mg 3.16-3.49
Pb 0.6007 0.3993 0.7500  10 Mg 3.16-3.49

Properties
For the calculated volume, the calculation gives 144 Å³/f.u. As for the total magnetization: 0.000 μB/atom. The value obtained for the total energy is -1.863 eV/atom. The calculation puts the density of states at the Fermi level at 0.34 states/eV/atom. The formation energy from the elements comes out at -0.0290 eV per atom.

## Mg6Cd5Pb (PBE)

Data for crystalline Mg6Cd5Pb at its relaxed geometry.

a = 8.0210 Å, b = 8.0210 Å, c = 7.0718 Å
α = 90.31°, β = 90.31°, γ = 143.71°
Closest atoms and distances in Å follow each position.
Fractional coordinates of all 12 atoms:
Mg 0.0002 0.0002 0.2410  6 Cd 3.00-3.15, 2 Pb 3.07-3.12
Mg 0.9998 0.9998 0.7590  6 Cd 3.00-3.15, 2 Pb 3.07-3.12
Mg 0.3294 0.6714 0.2421  7 Cd 3.01-3.12, 1 Pb 3.18
Mg 0.3286 0.6706 0.7579  7 Cd 3.01-3.12, 1 Pb 3.18
Mg 0.6714 0.3294 0.2421  7 Cd 3.01-3.12, 1 Pb 3.18
Mg 0.6706 0.3286 0.7579  7 Cd 3.01-3.12, 1 Pb 3.18
Cd 0.1644 0.8356 0.0000  8 Mg 3.01-3.05
Cd 0.1685 0.8315 0.5000  8 Mg 3.05-3.15
Cd 0.5000 0.5000 0.0000  8 Mg 3.00-3.12
Cd 0.8315 0.1685 0.5000  8 Mg 3.05-3.15
Cd 0.8356 0.1644 0.0000  8 Mg 3.01-3.05
Pb 0.5000 0.5000 0.5000  8 Mg 3.07-3.18

Properties
For the calculated volume, the calculation gives 269 Å³/f.u. As for the total magnetization: 0.000 μB/atom. The value obtained for the total energy is -1.558 eV/atom. The calculation puts the density of states at the Fermi level at 0.38 states/eV/atom. The formation energy from the elements comes out at -0.0708 eV per atom.

## Mg5Cd4Pb2 (PBE)

Data for crystalline Mg5Cd4Pb2 at its relaxed geometry.

a = 7.4016 Å, b = 20.3334 Å, c = 3.4845 Å
α = 90.00°, β = 90.00°, γ = 90.00°
Closest atoms and distances in Å follow each position.
Fractional coordinates of all 22 atoms:
Mg 0.0000 0.0000 0.0000  8 Cd 3.04-3.10, 2 Mg 3.22
Mg 0.1301 0.4169 0.0000  6 Cd 3.02-3.10, 2 Mg 3.17-3.22, 2 Pb 3.30
Mg 0.2370 0.6636 0.0000  4 Cd 3.04-3.06, 1 Mg 3.17, 4 Pb 3.19-3.23
Mg 0.2630 0.1636 0.0000  4 Cd 3.04-3.06, 1 Mg 3.17, 4 Pb 3.19-3.23
Mg 0.3699 0.9169 0.0000  6 Cd 3.02-3.10, 2 Mg 3.17-3.22, 2 Pb 3.30
Mg 0.5000 0.5000 0.0000  8 Cd 3.04-3.10, 2 Mg 3.22
Mg 0.6301 0.0831 0.0000  6 Cd 3.02-3.10, 2 Mg 3.17-3.22, 2 Pb 3.30
Mg 0.7370 0.8364 0.0000  4 Cd 3.04-3.06, 1 Mg 3.17, 4 Pb 3.19-3.23
Mg 0.7630 0.3364 0.0000  4 Cd 3.04-3.06, 1 Mg 3.17, 4 Pb 3.19-3.23
Mg 0.8699 0.5831 0.0000  6 Cd 3.02-3.10, 2 Mg 3.17-3.22, 2 Pb 3.30
Cd 0.0556 0.8754 0.5000  6 Mg 3.03-3.10, 1 Cd 3.23, 2 Pb 3.23-3.35
Cd 0.1835 0.5415 0.5000  8 Mg 3.02-3.10, 2 Cd 3.20-3.23
Cd 0.3165 0.0415 0.5000  8 Mg 3.02-3.10, 2 Cd 3.20-3.23
Cd 0.4444 0.3754 0.5000  6 Mg 3.03-3.10, 1 Cd 3.23, 2 Pb 3.23-3.35
Cd 0.5556 0.6246 0.5000  6 Mg 3.03-3.10, 1 Cd 3.23, 2 Pb 3.23-3.35
Cd 0.6835 0.9585 0.5000  8 Mg 3.02-3.10, 2 Cd 3.20-3.23
Cd 0.8165 0.4585 0.5000  8 Mg 3.02-3.10, 2 Cd 3.20-3.23
Cd 0.9444 0.1246 0.5000  6 Mg 3.03-3.10, 1 Cd 3.23, 2 Pb 3.23-3.35
Pb 0.0954 0.2798 0.5000  6 Mg 3.19-3.30, 2 Cd 3.23-3.35, 2 Pb 3.48
Pb 0.4046 0.7798 0.5000  6 Mg 3.19-3.30, 2 Cd 3.23-3.35, 2 Pb 3.48
Pb 0.5954 0.2202 0.5000  6 Mg 3.19-3.30, 2 Cd 3.23-3.35, 2 Pb 3.48
Pb 0.9046 0.7202 0.5000  6 Mg 3.19-3.30, 2 Cd 3.23-3.35, 2 Pb 3.48

Properties
For the calculated volume, the calculation gives 262 Å³/f.u. As for the total magnetization: 0.000 μB/atom. The value obtained for the total energy is -1.793 eV/atom. The calculation puts the density of states at the Fermi level at 0.42 states/eV/atom. The formation energy from the elements comes out at -0.0607 eV per atom.

## MgCd2Pb (PBE)

Data for crystalline MgCd2Pb at its relaxed geometry.

a = 4.2347 Å, b = 4.2347 Å, c = 7.5202 Å
α = 105.65°, β = 105.65°, γ = 60.52°
Closest atoms and distances in Å follow each position.
Fractional coordinates of all 4 atoms:
Mg 0.0000 0.0000 0.0000  6 Cd 2.93-2.96
Cd 0.4099 0.4099 0.2290  3 Mg 2.94-2.96, 3 Pb 3.11-3.14
Cd 0.5911 0.5911 0.7733  3 Mg 2.93-2.94, 3 Pb 3.12-3.14
Pb 0.1660 0.1660 0.5009  6 Cd 3.11-3.14

Properties
For the calculated volume, the calculation gives 112 Å³/f.u. As for the total magnetization: 0.000 μB/atom. The value obtained for the total energy is -1.636 eV/atom. The calculation puts the density of states at the Fermi level at 0.44 states/eV/atom. The formation energy from the elements comes out at 0.1473 eV per atom.

## MgCd2Pb (PBE)

Data for crystalline MgCd2Pb at its relaxed geometry.

a = 10.3008 Å, b = 10.3008 Å, c = 10.3008 Å
α = 18.99°, β = 18.99°, γ = 18.99°
Closest atoms and distances in Å follow each position.
Fractional coordinates of all 4 atoms:
Mg 0.0000 0.0000 0.0000  6 Cd 2.99
Cd 0.2589 0.2589 0.2589  3 Mg 2.99
Cd 0.7411 0.7411 0.7411  3 Mg 2.99
Pb 0.5000 0.5000 0.5000  6 Pb 3.40, 6 Cd 3.42

Properties
For the calculated volume, the calculation gives 101 Å³/f.u. As for the total magnetization: 0.000 μB/atom. The value obtained for the total energy is -1.774 eV/atom. The calculation puts the density of states at the Fermi level at 0.33 states/eV/atom. The formation energy from the elements comes out at 0.0098 eV per atom.

## Mg7CdPb2 (PBE)

Data for crystalline Mg7CdPb2 at its relaxed geometry.

a = 7.4609 Å, b = 7.4609 Å, c = 7.4609 Å
α = 60.00°, β = 60.00°, γ = 60.00°
Closest atoms and distances in Å follow each position.
Fractional coordinates of all 10 atoms:
Mg 0.0000 0.0000 0.0000  6 Mg 2.66
Mg 0.2520 0.2520 0.7480  1 Cd 2.62, 1 Mg 2.66
Mg 0.2520 0.7480 0.2520  1 Cd 2.62, 1 Mg 2.66
Mg 0.2520 0.7480 0.7480  1 Cd 2.62, 1 Mg 2.66
Mg 0.7480 0.2520 0.2520  1 Cd 2.62, 1 Mg 2.66
Mg 0.7480 0.2520 0.7480  1 Cd 2.62, 1 Mg 2.66
Mg 0.7480 0.7480 0.2520  1 Cd 2.62, 1 Mg 2.66
Cd 0.5000 0.5000 0.5000  6 Mg 2.62
Pb 0.2500 0.2500 0.2500  12 Mg 3.73
Pb 0.7500 0.7500 0.7500  12 Mg 3.73

Properties
For the calculated volume, the calculation gives 294 Å³/f.u. As for the total magnetization: 0.000 μB/atom. The value obtained for the total energy is -1.579 eV/atom. The calculation puts the density of states at the Fermi level at 0.59 states/eV/atom. The formation energy from the elements comes out at 0.3709 eV per atom.

## Mg7Cd12Pb (PBE)

Data for crystalline Mg7Cd12Pb at its relaxed geometry.

a = 9.1836 Å, b = 9.1836 Å, c = 9.1836 Å
α = 109.47°, β = 109.47°, γ = 109.47°
Closest atoms and distances in Å follow each position.
Fractional coordinates of all 20 atoms:
Mg 0.0000 0.0000 0.5000  6 Cd 2.87
Mg 0.0000 0.5000 0.0000  6 Cd 2.87
Mg 0.0000 0.5000 0.5000  4 Cd 2.93
Mg 0.5000 0.0000 0.0000  6 Cd 2.87
Mg 0.5000 0.0000 0.5000  4 Cd 2.93
Mg 0.5000 0.5000 0.0000  4 Cd 2.93
Mg 0.5000 0.5000 0.5000  6 Cd 2.87
Cd 0.1183 0.8520 0.2663  3 Mg 2.87-2.93, 1 Cd 3.14
Cd 0.1480 0.2663 0.4143  3 Mg 2.87-2.93, 1 Cd 3.14
Cd 0.1480 0.7337 0.8817  3 Mg 2.87-2.93, 1 Cd 3.14
Cd 0.2663 0.1183 0.8520  3 Mg 2.87-2.93, 1 Cd 3.14
Cd 0.2663 0.4143 0.1480  3 Mg 2.87-2.93, 1 Cd 3.14
Cd 0.4143 0.1480 0.2663  3 Mg 2.87-2.93, 1 Cd 3.14
Cd 0.5857 0.8520 0.7337  3 Mg 2.87-2.93, 1 Cd 3.14
Cd 0.7337 0.5857 0.8520  3 Mg 2.87-2.93, 1 Cd 3.14
Cd 0.7337 0.8817 0.1480  3 Mg 2.87-2.93, 1 Cd 3.14
Cd 0.8520 0.2663 0.1183  3 Mg 2.87-2.93, 1 Cd 3.14
Cd 0.8520 0.7337 0.5857  3 Mg 2.87-2.93, 1 Cd 3.14
Cd 0.8817 0.1480 0.7337  3 Mg 2.87-2.93, 1 Cd 3.14
Pb 0.0000 0.0000 0.0000  12 Cd 3.23

Properties
For the calculated volume, the calculation gives 596 Å³/f.u. As for the total magnetization: 0.000 μB/atom. The value obtained for the total energy is -1.065 eV/atom. The calculation puts the density of states at the Fermi level at 0.15 states/eV/atom. The formation energy from the elements comes out at 0.2272 eV per atom.

## Mg4CdPb (PBE)

Data for crystalline Mg4CdPb at its relaxed geometry.

a = 5.9192 Å, b = 5.9192 Å, c = 5.9192 Å
α = 60.00°, β = 60.00°, γ = 60.00°
Closest atoms and distances in Å follow each position.
Fractional coordinates of all 6 atoms:
Mg 0.1255 0.1255 0.1255  6 Mg 2.95-2.97
Mg 0.1255 0.1255 0.6236  6 Mg 2.95-2.97
Mg 0.1255 0.6236 0.1255  6 Mg 2.95-2.97
Mg 0.6236 0.1255 0.1255  6 Mg 2.95-2.97
Cd 0.5000 0.5000 0.5000  12 Mg 3.47, 4 Pb 3.62
Pb 0.7500 0.7500 0.7500  12 Mg 3.47, 4 Cd 3.62

Properties
For the calculated volume, the calculation gives 147 Å³/f.u. As for the total magnetization: 0.000 μB/atom. The value obtained for the total energy is -1.781 eV/atom. The calculation puts the density of states at the Fermi level at 0.70 states/eV/atom. The formation energy from the elements comes out at 0.0527 eV per atom.

## MgCd2Pb (PBE)

Data for crystalline MgCd2Pb at its relaxed geometry.

a = 5.1965 Å, b = 5.1965 Å, c = 5.1965 Å
α = 60.00°, β = 60.00°, γ = 60.00°
Closest atoms and distances in Å follow each position.
Fractional coordinates of all 4 atoms:
Mg 0.0000 0.0000 0.0000  4 Cd 3.18, 4 Pb 3.18
Cd 0.5000 0.5000 0.5000  4 Cd 3.18, 4 Pb 3.18
Cd 0.7500 0.7500 0.7500  4 Cd 3.18, 4 Mg 3.18
Pb 0.2500 0.2500 0.2500  4 Cd 3.18, 4 Mg 3.18

Properties
For the calculated volume, the calculation gives 99 Å³/f.u. As for the total magnetization: 0.000 μB/atom. The value obtained for the total energy is -1.753 eV/atom. The calculation puts the density of states at the Fermi level at 0.32 states/eV/atom. The formation energy from the elements comes out at 0.0302 eV per atom.

## Mg5Cd2Pb (PBE)

Data for crystalline Mg5Cd2Pb at its relaxed geometry.

a = 6.3501 Å, b = 12.7542 Å, c = 4.5764 Å
α = 90.00°, β = 90.00°, γ = 90.00°
Closest atoms and distances in Å follow each position.
Fractional coordinates of all 16 atoms:
Mg 0.0000 0.0000 0.0000  4 Cd 3.16, 2 Pb 3.18, 6 Mg 3.23-3.27
Mg 0.0406 0.2522 0.0000  4 Cd 3.12-3.14, 1 Pb 3.17, 7 Mg 3.18-3.27
Mg 0.2246 0.6211 0.5000  4 Cd 3.04-3.33, 2 Pb 3.11, 6 Mg 3.20-3.27
Mg 0.2754 0.1211 0.5000  4 Cd 3.04-3.33, 2 Pb 3.11, 6 Mg 3.20-3.27
Mg 0.4594 0.7522 0.0000  4 Cd 3.12-3.14, 1 Pb 3.17, 7 Mg 3.18-3.27
Mg 0.5000 0.5000 0.0000  4 Cd 3.16, 2 Pb 3.18, 6 Mg 3.23-3.27
Mg 0.5406 0.2478 0.0000  4 Cd 3.12-3.14, 1 Pb 3.17, 7 Mg 3.18-3.27
Mg 0.7246 0.8789 0.5000  4 Cd 3.04-3.33, 2 Pb 3.11, 6 Mg 3.20-3.27
Mg 0.7754 0.3789 0.5000  4 Cd 3.04-3.33, 2 Pb 3.11, 6 Mg 3.20-3.27
Mg 0.9594 0.7478 0.0000  4 Cd 3.12-3.14, 1 Pb 3.17, 7 Mg 3.18-3.27
Cd 0.2022 0.8624 0.5000  10 Mg 3.04-3.33
Cd 0.2978 0.3624 0.5000  10 Mg 3.04-3.33
Cd 0.7022 0.6376 0.5000  10 Mg 3.04-3.33
Cd 0.7978 0.1376 0.5000  10 Mg 3.04-3.33
Pb 0.0000 0.5000 0.0000  8 Mg 3.11-3.18, 4 Cd 3.45
Pb 0.5000 0.0000 0.0000  8 Mg 3.11-3.18, 4 Cd 3.45

Properties
For the calculated volume, the calculation gives 185 Å³/f.u. As for the total magnetization: 0.000 μB/atom. The value obtained for the total energy is -1.752 eV/atom. The calculation puts the density of states at the Fermi level at 0.44 states/eV/atom. The formation energy from the elements comes out at -0.0633 eV per atom.